# SrTbSb (PBE, relaxed)
# Calculated density   5.829 g/cm³
# Size of the total moment   0.131 Bohr magnetons per cell
# Raw total energy   -4.0011 eV per atom
data_SrTbSb
_chemical_formula_sum 'Sr4 Tb4 Sb4'
_cell_length_a 7.4870
_cell_length_b 7.4870
_cell_length_c 7.4870
_cell_angle_alpha 90.00
_cell_angle_beta 90.00
_cell_angle_gamma 90.00
_symmetry_space_group_name_H-M 'F -4 3 m'
_symmetry_Int_Tables_number 216
_symmetry_space_group_name_Hall 'F -4 2 3'
loop_
_atom_site_label
_atom_site_fract_x
_atom_site_fract_y
_atom_site_fract_z
Sr1 0.0000 0.0000 0.0000
Tb1 0.0000 0.0000 0.5000
Sb1 0.2500 0.2500 0.2500

---

# Sr3TbSb (PBE, relaxed)
# Calculated density   4.375 g/cm³
# Size of the total moment   0.456 Bohr magnetons per cell
# Raw total energy   -3.0447 eV per atom
data_Sr3TbSb
_chemical_formula_sum 'Sr18 Tb6 Sb6'
_cell_length_a 10.7504
_cell_length_b 10.7504
_cell_length_c 12.3670
_cell_angle_alpha 90.00
_cell_angle_beta 90.00
_cell_angle_gamma 120.00
_symmetry_space_group_name_H-M 'R -3 c'
_symmetry_Int_Tables_number 167
_symmetry_space_group_name_Hall '-R 3 2"c'
loop_
_atom_site_label
_atom_site_fract_x
_atom_site_fract_y
_atom_site_fract_z
Sr1 0.0000 0.3152 0.2500
Tb1 0.0000 0.0000 0.0000
Sb1 0.0000 0.0000 0.2500

---

# SrThSb (PBE, relaxed)
# Calculated density   6.299 g/cm³
# Size of the total moment   6.376 Bohr magnetons per cell
# Raw total energy   -4.0191 eV per atom
data_SrThSb
_chemical_formula_sum 'Sr4 Th4 Sb4'
_cell_length_a 7.7500
_cell_length_b 7.7500
_cell_length_c 7.7500
_cell_angle_alpha 90.00
_cell_angle_beta 90.00
_cell_angle_gamma 90.00
_symmetry_space_group_name_H-M 'F -4 3 m'
_symmetry_Int_Tables_number 216
_symmetry_space_group_name_Hall 'F -4 2 3'
loop_
_atom_site_label
_atom_site_fract_x
_atom_site_fract_y
_atom_site_fract_z
Sr1 0.0000 0.0000 0.0000
Th1 0.2500 0.2500 0.7500
Sb1 0.0000 0.0000 0.5000

---

# SrZnSb2 (PBE, relaxed)
# Calculated density   5.833 g/cm³
# Raw total energy   -2.9762 eV per atom
data_SrZnSb2
_chemical_formula_sum 'Sr4 Zn4 Sb8'
_cell_length_a 7.6718
_cell_length_b 7.6718
_cell_length_c 7.6718
_cell_angle_alpha 90.00
_cell_angle_beta 90.00
_cell_angle_gamma 90.00
_symmetry_space_group_name_H-M 'F -4 3 m'
_symmetry_Int_Tables_number 216
_symmetry_space_group_name_Hall 'F -4 2 3'
loop_
_atom_site_label
_atom_site_fract_x
_atom_site_fract_y
_atom_site_fract_z
Sr1 0.0000 0.0000 0.0000
Zn1 0.2500 0.2500 0.2500
Sb1 0.0000 0.0000 0.5000
Sb2 0.2500 0.2500 0.7500

---

raw total energy of number 1 (SrTbSb)?
-4.0011 eV per atom

---

What is the calculated density in the first record?
5.829 g/cm³